No. 1
## CsAc2TaO6 (PBE)

Data for an optimized crystal structure of CsAc2TaO6.

Calculated values
As for the energy: -80.0 eV for the cell shown.

abc: 6.2498 6.2496 6.6761
angles: 62.09 62.09 60.00
Last column: nearest neighbours and their distance in Å.
Fractional coordinates of all 10 atoms:
1 Cs 0.7752 0.7752 0.6745  3 O 2.85
2 Ac 0.5256 0.5256 0.4231  6 O 2.52-2.55
3 Ac 0.0090 0.0090 0.9729  6 O 2.40-2.66
4 Ta 0.3256 0.3256 0.0233  6 O 2.00-2.08
5 O 0.5382 0.2829 0.1973  1 Ta 2.00
6 O 0.2829 0.9815 0.1973  1 Ta 2.00
7 O 0.9815 0.5382 0.1973  1 Ta 2.00
8 O 0.3236 0.6865 0.7765  1 Ta 2.08
9 O 0.6865 0.2135 0.7765  1 Ta 2.08
10 O 0.2135 0.3236 0.7765  1 Ta 2.08


No. 2
## BaMgCl2 (PBE)

Data for an optimized crystal structure of BaMgCl2.

Calculated values
The value obtained for the energy above the lowest structure with this stoichiometry is 318.7 meV/atom. As for the energy: -12.0 eV for the cell shown.

abc: 9.3887 9.3887 9.3887
angles: 25.42 25.42 25.42
Last column: nearest neighbours and their distance in Å.
Fractional coordinates of all 4 atoms:
1 Mg 0.5000 0.5000 0.5000  6 Cl 2.70
2 Ba 0.0000 0.0000 0.0000  2 Cl 3.28
3 Cl 0.8795 0.8795 0.8795  3 Mg 2.70
4 Cl 0.1205 0.1205 0.1205  3 Mg 2.70


No. 3
## LaMgTa2 (PBE)

Data for an optimized crystal structure of LaMgTa2.

Calculated values
As for the energy: -28.4 eV for the cell shown. Its energy relative to the elements is 467.5 meV/atom.

abc: 5.4803 5.4803 5.5036
angles: 80.65 80.65 32.53
Last column: nearest neighbours and their distance in Å.
Fractional coordinates of all 4 atoms:
1 La 0.7500 0.7500 0.7500  2 La 3.07, 4 Mg 3.15, 6 Ta 3.16-3.31
2 Mg 0.2500 0.2500 0.2500  6 Ta 3.00-3.19, 2 Mg 3.07, 4 La 3.15
3 Ta 0.9875 0.9875 0.0318  4 Ta 2.90-3.07, 3 Mg 3.00-3.19, 1 La 3.16
4 Ta 0.5125 0.5125 0.4682  4 Ta 2.90-3.07, 3 Mg 3.00-3.19, 1 La 3.16


No. 4
## Ac2LaPb2 (PBE)

Data for an optimized crystal structure of Ac2LaPb2.

Calculated values
The value obtained for the energy above the lowest structure with this stoichiometry is 0.0 meV/atom. As for the energy: -46.3 eV for the cell shown. Its energy relative to the elements is -517.8 meV/atom.

abc: 4.8701 8.7718 8.7718
angles: 90.00 90.00 90.00
Last column: nearest neighbours and their distance in Å.
Fractional coordinates of all 10 atoms:
1 Ac 0.0000 0.6683 0.3317  6 Pb 3.46-3.61
2 Ac 0.0000 0.8317 0.8317  6 Pb 3.46-3.61
3 Ac 0.0000 0.1683 0.1683  6 Pb 3.46-3.61
4 Ac 0.0000 0.3317 0.6683  6 Pb 3.46-3.61
5 La 0.5000 0.5000 0.0000  4 Pb 3.42
6 La 0.5000 0.0000 0.5000  4 Pb 3.42
7 Pb 0.5000 0.3665 0.3665  1 Pb 3.31, 2 La 3.42, 6 Ac 3.46-3.61
8 Pb 0.5000 0.8665 0.1335  1 Pb 3.31, 2 La 3.42, 6 Ac 3.46-3.61
9 Pb 0.5000 0.1335 0.8665  1 Pb 3.31, 2 La 3.42, 6 Ac 3.46-3.61
10 Pb 0.5000 0.6335 0.6335  1 Pb 3.31, 2 La 3.42, 6 Ac 3.46-3.61


No. 5
## PrSi2IrRu (PBE)

Data for an optimized crystal structure of PrSi2IrRu.

Calculated values
As for the energy: -38.7 eV for the cell shown.

abc: 4.1797 4.1797 5.8211
angles: 111.04 111.04 90.00
Last column: nearest neighbours and their distance in Å.
Fractional coordinates of all 5 atoms:
1 Pr 0.0000 0.0000 0.0000  8 Si 3.23, 4 Ru 3.26, 4 Ir 3.26
2 Si 0.6306 0.6306 0.2612  2 Ru 2.41, 2 Ir 2.41, 1 Si 2.62
3 Si 0.3694 0.3694 0.7388  2 Ru 2.41, 2 Ir 2.41, 1 Si 2.62
4 Ir 0.7500 0.2500 0.5000  4 Si 2.41
5 Ru 0.2500 0.7500 0.5000  4 Si 2.41


No. 6
## TbSiI (PBE)

Data for an optimized crystal structure of TbSiI.

Calculated values
As for the energy: -28.7 eV for the cell shown.

abc: 3.9339 3.9346 14.0946
angles: 95.20 81.98 60.01
Last column: nearest neighbours and their distance in Å.
Fractional coordinates of all 6 atoms:
1 Tb 0.8248 0.0294 0.3209  4 Si 2.96-2.99, 3 I 3.09
2 Tb 0.1752 0.9706 0.6791  4 Si 2.96-2.99, 3 I 3.09
3 Si 0.6338 0.1952 0.5371  3 Si 2.49
4 Si 0.3662 0.8048 0.4629  3 Si 2.49
5 I 0.2933 0.2457 0.1677  3 Tb 3.09
6 I 0.7067 0.7543 0.8323  3 Tb 3.09


No. 7
## MgHNO2 (PBE)

Data for an optimized crystal structure of MgHNO2.

Calculated values
As for the energy: -21.7 eV for the cell shown.

abc: 3.7567 3.7567 2.6425
angles: 90.00 90.00 90.00
Last column: nearest neighbours and their distance in Å.
Fractional coordinates of all 5 atoms:
1 H 0.0000 0.0000 0.0000  2 N 1.32
2 Mg 0.5000 0.5000 0.5000  8 O 2.30
3 O 0.0000 0.5000 0.0000  2 H 1.88
4 O 0.5000 0.0000 0.0000  2 H 1.88
5 N 0.0000 0.0000 0.5000  2 H 1.32


No. 8
## B5C7 (PBE)

Data for an optimized crystal structure of B5C7.

Calculated values
The value obtained for the energy above the lowest structure with this stoichiometry is 129.8 meV/atom. As for the energy: -93.3 eV for the cell shown. Its energy relative to the elements is 387.7 meV/atom.

abc: 2.6172 4.6134 6.4737
angles: 94.71 90.00 90.00
Last column: nearest neighbours and their distance in Å.
Fractional coordinates of all 12 atoms:
1 B 0.5000 0.7990 0.3389  1 C 1.62
2 B 0.5000 0.4171 0.2420  2 C 1.56, 1 B 1.74
3 B 0.5000 0.5568 0.0010  2 C 1.61, 1 B 1.74
4 B 0.5000 0.1685 0.9289  3 C 1.59-1.72
5 B 0.0000 0.0182 0.2317  2 C 1.56-1.57
6 C 0.0000 0.6729 0.6685  4 C 1.52-1.60
7 C 0.0000 0.3351 0.5883  4 C 1.53-1.60
8 C 0.0000 0.3276 0.3523  1 C 1.53, 3 B 1.56-1.57
9 C 0.0000 0.0016 0.9905  1 C 1.48, 3 B 1.56-1.59
10 C 0.0000 0.6944 0.9039  2 C 1.48-1.52, 2 B 1.61
11 C 0.5000 0.1790 0.6644  3 C 1.59-1.64, 1 B 1.72
12 C 0.5000 0.8297 0.5897  3 C 1.60-1.64, 1 B 1.62


No. 9
## Ba2TbYSe4 (PBE)

Data for an optimized crystal structure of Ba2TbYSe4.

Calculated values
As for the energy: -44.0 eV for the cell shown.

abc: 4.3032 7.4314 7.7964
angles: 108.64 90.00 90.00
Last column: nearest neighbours and their distance in Å.
Fractional coordinates of all 8 atoms:
1 Ba 0.5000 0.0000 0.5000  6 Se 3.26
2 Ba 0.0000 0.5000 0.5000  6 Se 3.26-3.27
3 Tb 0.5000 0.5000 0.0000  6 Se 2.94
4 Y 0.0000 0.0000 0.0000  6 Se 2.93-2.94
5 Se 0.5000 0.2374 0.2127  2 Y 2.94, 1 Tb 2.94, 3 Ba 3.26
6 Se 0.5000 0.7626 0.7873  2 Y 2.94, 1 Tb 2.94, 3 Ba 3.26
7 Se 0.0000 0.2618 0.7871  1 Y 2.93, 2 Tb 2.94, 3 Ba 3.26-3.27
8 Se 0.0000 0.7382 0.2129  1 Y 2.93, 2 Tb 2.94, 3 Ba 3.26-3.27


No. 10
## SbPb2Cl (PBE)

Data for an optimized crystal structure of SbPb2Cl.

Calculated values
The value obtained for the energy above the lowest structure with this stoichiometry is 83.7 meV/atom. As for the energy: -14.7 eV for the cell shown.

abc: 5.4418 5.4418 5.4418
angles: 60.00 60.00 60.00
Last column: nearest neighbours and their distance in Å.
Fractional coordinates of all 4 atoms:
1 Pb 0.2500 0.2500 0.2500  4 Sb 3.33, 4 Cl 3.33
2 Pb 0.7500 0.7500 0.7500  4 Sb 3.33, 4 Cl 3.33
3 Sb 0.5000 0.5000 0.5000  8 Pb 3.33
4 Cl 0.0000 0.0000 0.0000  8 Pb 3.33


No. 11
## Ac2ThRu2I2 (PBE)

Data for an optimized crystal structure of Ac2ThRu2I2.

Calculated values
As for the energy: -41.3 eV for the cell shown.

abc: 5.1563 5.1563 9.6648
angles: 105.47 105.47 90.00
Last column: nearest neighbours and their distance in Å.
Fractional coordinates of all 7 atoms:
1 Ac 0.3930 0.3930 0.7860  4 Ru 3.21
2 Ac 0.6070 0.6070 0.2140  4 Ru 3.21
3 Th 0.0000 0.0000 0.0000  4 Ru 2.58
4 Ru 0.0000 0.5000 0.0000  2 Th 2.58
5 Ru 0.5000 0.0000 0.0000  2 Th 2.58
6 I 0.1908 0.1908 0.3816  1 Th 3.42, 1 Ac 3.62
7 I 0.8092 0.8092 0.6184  1 Th 3.42, 1 Ac 3.62


No. 12
## FeCo (PBE)

Data for an optimized crystal structure of FeCo.

Calculated values
As for the energy: -62.3 eV for the cell shown. Its energy relative to the elements is -2.7 meV/atom.

abc: 6.3861 6.3861 6.3861
angles: 143.52 143.52 52.55
Last column: nearest neighbours and their distance in Å.
Fractional coordinates of all 8 atoms:
1 Co 0.0025 0.0025 0.0000  4 Fe 2.44, 4 Co 2.48
2 Co 0.3750 0.8750 0.5000  4 Fe 2.44, 4 Co 2.48
3 Co 0.7475 0.7475 0.0000  4 Fe 2.44, 4 Co 2.48
4 Co 0.8750 0.3750 0.5000  4 Fe 2.44, 4 Co 2.48
5 Fe 0.1250 0.6250 0.5000  4 Co 2.44, 4 Fe 2.48
6 Fe 0.4975 0.4975 0.0000  4 Co 2.44, 4 Fe 2.48
7 Fe 0.2525 0.2525 0.0000  4 Co 2.44, 4 Fe 2.48
8 Fe 0.6250 0.1250 0.5000  4 Co 2.44, 4 Fe 2.48